This record from Alexandria describes a relaxed structure of KHfNiHg2. The functional is PBE.

Results
* volume: 131.0 Å³ per cell
* E_form: 1.4760 eV per atom
* calculated total energy: -2.011 eV per atom

Cell: 5.442 5.442 4.422 Å, 90.00 90.00 90.00°
Space group P4/mmm (No. 123)
One atom of each set of equivalent atoms:
K1 0.000 0.000 0.000 x1
Hf1 0.500 0.500 0.500 x1
Ni1 0.000 0.000 0.500 x1
Hg1 0.000 0.500 0.000 x2

***

This record from Alexandria describes a relaxed structure of TaBP3. The functional is PBE.

Results
* volume: 110.9 Å³ per cell
* E_form: 1.2585 eV per atom
* calculated total energy: -5.693 eV per atom

Cell: 4.804 4.804 4.804 Å, 90.00 90.00 90.00°
Space group Pm-3m (No. 221)
One atom of each set of equivalent atoms:
Ta1 0.000 0.000 0.000 x1
B1 0.500 0.500 0.500 x1
P1 0.000 0.000 0.500 x3

***

This record from Alexandria describes a relaxed structure of CrRuS2N. The functional is PBE.

Results
* volume: 82.1 Å³ per cell
* calculated total energy: -6.222 eV per atom
* formation energy (no corrections): 0.8738 eV per atom

Cell: 4.770 4.770 3.609 Å, 90.00 90.00 90.00°
Space group P4/mmm (No. 123)
One atom of each set of equivalent atoms:
Cr1 0.000 0.000 0.000 x1
Ru1 0.500 0.500 0.500 x1
S1 0.000 0.500 0.500 x2
N1 0.500 0.500 0.000 x1

***

Question: Which value of calculated total energy does entry 2 give?
Answer: -5.693 eV per atom

***

What did the third record say?
This record from Alexandria describes a relaxed structure of CrRuS2N. The functional is PBE.

Results
* volume: 82.1 Å³ per cell
* calculated total energy: -6.222 eV per atom
* formation energy (no corrections): 0.8738 eV per atom

Cell: 4.770 4.770 3.609 Å, 90.00 90.00 90.00°
Space group P4/mmm (No. 123)
One atom of each set of equivalent atoms:
Cr1 0.000 0.000 0.000 x1
Ru1 0.500 0.500 0.500 x1
S1 0.000 0.500 0.500 x2
N1 0.500 0.500 0.000 x1

***

Question: Among the records above, which one has the highest volume?
Answer: KHfNiHg2